Density functional theory data (PBE+U) for a geometry-optimized Na2DyCoF8 structure.

Energy in eV/atom: -5.227

```
data_Na2DyCoF8
_space_group_name_H-M_alt 'P 1 2/m 1'
_space_group_IT_number 10
_space_group_name_Hall '-P 2y'
_cell_length_a 5.083
_cell_length_b 6.711
_cell_length_c 5.126
_cell_angle_alpha 90.00
_cell_angle_beta 91.07
_cell_angle_gamma 90.00
loop_
_atom_site_label
_atom_site_type_symbol
_atom_site_fract_x
_atom_site_fract_y
_atom_site_fract_z
Na1 Na 0.000 0.241 0.000
Dy1 Dy 0.500 0.500 0.500
Co1 Co 0.500 0.000 0.500
F1 F 0.198 0.500 0.205
F2 F 0.241 0.000 0.246
F3 F 0.321 0.229 0.682
```

Density functional theory data (PBE+U) for a geometry-optimized RbDyCo2F8 structure.

Energy in eV/atom: -5.415

```
data_RbDyCo2F8
_space_group_name_H-M_alt 'P -1'
_space_group_IT_number 2
_space_group_name_Hall '-P 1'
_cell_length_a 5.281
_cell_length_b 5.377
_cell_length_c 7.741
_cell_angle_alpha 79.46
_cell_angle_beta 79.94
_cell_angle_gamma 77.27
loop_
_atom_site_label
_atom_site_type_symbol
_atom_site_fract_x
_atom_site_fract_y
_atom_site_fract_z
Rb1 Rb 0.000 0.000 0.000
Dy1 Dy 0.000 0.000 0.500
Co1 Co 0.450 0.449 0.216
F1 F 0.204 0.748 0.714
F2 F 0.237 0.778 0.294
F3 F 0.279 0.256 0.432
F4 F 0.360 0.337 0.007
```

Density functional theory data (PBE+U) for a geometry-optimized Rb2DyCo3F12 structure.

Energy in eV/atom: -5.153

```
data_Rb2DyCo3F12
_space_group_name_H-M_alt 'R -3 m'
_space_group_IT_number 166
_space_group_name_Hall '-R 3 2"'
_cell_length_a 7.4993
_cell_length_b 7.4993
_cell_length_c 18.6739
_cell_angle_alpha 90.00
_cell_angle_beta 90.00
_cell_angle_gamma 120.00
loop_
_atom_site_label
_atom_site_type_symbol
_atom_site_fract_x
_atom_site_fract_y
_atom_site_fract_z
Rb1 Rb 0.0000 0.0000 0.1124
Dy1 Dy 0.0000 0.0000 0.5000
Co1 Co 0.0000 0.5000 0.0000
F1 F 0.0425 0.5213 0.1076
F2 F 0.0737 0.5369 0.3468
```